Entry 1:
VASP calculation (PBE-GGA) on a relaxed K4CuSi crystal.

Unit cell a=9.6050 b=9.6050 c=9.6050 alpha=90.00 beta=90.00 gamma=90.00
Space group F-43m (No. 216)
Symmetry-distinct sites (fractional):
K  0.1249  0.1249  0.1249 [16 per cell]
Cu  0.0000  0.0000  0.5000 [4 per cell]
Si  0.2500  0.2500  0.7500 [4 per cell]

Results
Formation energy (no corrections) = 456 kJ/mol of formula units
Theoretical density = 1.9 Mg/m³
E = -1.53 eV per atom

=====

Entry 2:
VASP calculation (PBE-GGA) on a relaxed K2CuSi crystal.

Unit cell a=5.8566 b=10.2013 c=3.6233 alpha=90.00 beta=90.11 gamma=90.00
Space group C2/m (No. 12)
Symmetry-distinct sites (fractional):
K  0.2500  0.2500  0.0000 [4 per cell]
Cu  0.0000  0.0000  0.5000 [2 per cell]
Si  0.0000  0.5000  0.5000 [2 per cell]

Results
Formation energy (no corrections) = 223 kJ/mol of formula units
Theoretical density = 2.6 Mg/m³
E = -2.35 eV per atom

=====

Entry 3:
VASP calculation (PBE-GGA) on a relaxed KCuSi2 crystal.

Unit cell a=6.7159 b=6.7159 c=6.7159 alpha=90.00 beta=90.00 gamma=90.00
Space group F-43m (No. 216)
Symmetry-distinct sites (fractional):
K  0.0000  0.0000  0.0000 [4 per cell]
Cu  0.2500  0.2500  0.7500 [4 per cell]
Si  0.0000  0.0000  0.5000 [4 per cell]
Si  0.2500  0.2500  0.2500 [4 per cell]

Results
Formation energy (no corrections) = 271 kJ/mol of formula units
Theoretical density = 3.5 Mg/m³
E = -3.31 eV per atom

=====

Per-record DOS at the Fermi energy, states/eV per atom: 0.778 0.619 0.412